A | Density functional theory data (PBE-GGA) for an optimized crystal structure of Sc3TiOs.

Cell lengths 4.6720, 4.6720, 4.6720 Å; angles 90.00, 90.00, 90.00 degrees
Atoms (fractional coordinates):
Ti1 0.0000 0.0000 0.0000
Sc1 0.5000 0.0000 0.0000
Sc2 0.0000 0.0000 0.5000
Os1 0.5000 0.5000 0.5000
Sc3 0.0000 0.5000 0.0000

Results
Size of the total moment ... 0.0 μB/cell
V ... 102.0 Å³ per cell

B | Density functional theory data (PBE-GGA) for an optimized crystal structure of Sc3TiOs.

Cell lengths 4.9910, 4.9910, 4.9910 Å; angles 90.00, 90.00, 90.00 degrees
Atoms (fractional coordinates):
Sc1 0.5000 0.0000 0.0000
Ti1 0.5000 0.5000 0.5000
Sc2 0.0000 0.5000 0.0000
Os1 0.0000 0.0000 0.0000
Sc3 0.0000 0.0000 0.5000

Results
Size of the total moment ... 0.0 μB/cell
V ... 124.3 Å³ per cell

We find B to be the most stable, with the next structure 0.794 eV/atom higher.